Entry 1:
Compound: TcPt2Rh
Source: Alexandria
Functional: SCAN
Structure: single point on PBEsol structure

Results
* space group: R3m (160)
* calculated formation energy: -132 meV per atom
* offset from the most stable computed form: 0.056 eV per atom
* M_tot: 0.00 μB per formula unit

abc: 2.712 2.712 9.115
angles: 81.45 81.45 60.00
Sites, in units of the cell vectors:
Tc: 0.248 0.248 0.257
Rh: 0.504 0.504 0.488
Pt: 0.752 0.752 0.745
Pt: 0.997 0.997 0.009



Entry 2:
Compound: TcPt2Rh
Source: Alexandria
Functional: SCAN
Structure: single point on PBEsol structure

Results
* space group: P4/mmm (123)
* calculated formation energy: -156 meV per atom
* offset from the most stable computed form: 0.031 eV per atom
* M_tot: 0.00 μB per formula unit

abc: 2.703 2.703 7.785
angles: 90.00 90.00 90.00
Sites, in units of the cell vectors:
Tc: 0.500 0.500 0.500
Pt: 0.000 0.000 0.255
Rh: 0.500 0.500 0.000
Pt: 0.000 0.000 0.745